Computed, not measured: a relaxed Sr2FeOs crystal at the GGA-PBE level of DFT.

Geometry as extended XYZ:
```
4
Lattice="3.5265 0.0129 0.0000 -0.0132 3.5265 0.0000 0.0000 0.0000 8.1249" Properties=species:S:1:pos:R:3 pbc="T T T"
Fe 1.7567 1.7697 2.0312
Os 1.7567 1.7697 6.0937
Sr 0.0000 0.0000 7.9555
Sr 0.0000 0.0000 4.2319
```

## Properties
Space group: No. 123
E_form in eV/f.u.: 4.07
Magnetization in μB per formula unit: 3.63
Total DFT energy (no corrections) in eV per atom: -4.75
D(E_F) in states/eV/atom: 1.945